a | First-principles (GGA-PBE) data for a relaxed structure of Cd2FeMo, as listed in the Alexandria database.

Cell lengths 2.953, 2.953, 7.799 Å; angles 90.00, 90.00, 90.00 degrees
Element x y z (fractional)
Cd: 0.000 0.000 0.000
Cd: 0.500 0.500 0.307
Fe: 0.000 0.000 0.554
Mo: 0.500 0.500 0.719

Calculated values
- magnetic moment (Bohr magnetons per cell) = 0.15
- calculated volume (Å³/cell) = 68.0
- symmetry = P4mm, No. 99
- mass density (g/cm³) = 9.19

b | First-principles (GGA-PBE) data for a relaxed structure of Cd2FeMo, as listed in the Alexandria database.

Cell lengths 7.440, 7.440, 5.200 Å; angles 90.00, 90.00, 90.00 degrees
Element x y z (fractional)
Cd: 0.222 0.250 0.125
Cd: 0.250 0.722 0.375
Cd: 0.250 0.778 0.875
Cd: 0.278 0.250 0.625
Cd: 0.722 0.750 0.625
Cd: 0.750 0.222 0.875
Cd: 0.750 0.278 0.375
Cd: 0.778 0.750 0.125
Fe: 0.000 0.000 0.000
Fe: 0.000 0.500 0.250
Fe: 0.500 0.000 0.750
Fe: 0.500 0.500 0.500
Mo: 0.000 0.000 0.500
Mo: 0.000 0.500 0.750
Mo: 0.500 0.000 0.250
Mo: 0.500 0.500 0.000

Calculated values
- magnetic moment (Bohr magnetons per cell) = 0.00
- calculated volume (Å³/cell) = 287.8
- symmetry = I-42d, No. 122
- mass density (g/cm³) = 8.69

Which of them is the most stable? Correct choice: a.

a | First-principles (GGA-PBE) data for a relaxed structure of CdFe2Mo2, as listed in the Alexandria database.

Cell lengths 4.104, 4.104, 9.434 Å; angles 90.00, 90.00, 90.00 degrees
Element x y z (fractional)
Cd: 0.000 0.000 0.000
Cd: 0.500 0.500 0.500
Fe: 0.000 0.000 0.383
Fe: 0.000 0.000 0.617
Fe: 0.500 0.500 0.117
Fe: 0.500 0.500 0.883
Mo: 0.000 0.500 0.250
Mo: 0.000 0.500 0.750
Mo: 0.500 0.000 0.250
Mo: 0.500 0.000 0.750

Calculated values
- magnetic moment (Bohr magnetons per cell) = 0.00
- calculated volume (Å³/cell) = 158.9
- symmetry = I4/mmm, No. 139
- mass density (g/cm³) = 8.69

b | First-principles (GGA-PBE) data for a relaxed structure of CdFe2Mo2, as listed in the Alexandria database.

Cell lengths 7.230, 7.230, 2.776 Å; angles 90.00, 90.00, 90.00 degrees
Element x y z (fractional)
Cd: 0.000 0.000 0.000
Cd: 0.500 0.500 0.000
Fe: 0.127 0.373 0.000
Fe: 0.373 0.873 0.000
Fe: 0.627 0.127 0.000
Fe: 0.873 0.627 0.000
Mo: 0.162 0.662 0.500
Mo: 0.338 0.162 0.500
Mo: 0.662 0.838 0.500
Mo: 0.838 0.338 0.500

Calculated values
- magnetic moment (Bohr magnetons per cell) = 0.00
- calculated volume (Å³/cell) = 145.1
- symmetry = P4/mbm, No. 127
- mass density (g/cm³) = 9.52

Which of them is the most stable? Correct choice: b.

a | First-principles (GGA-PBE) data for a relaxed structure of CdFeTe2N, as listed in the Alexandria database.

Cell lengths 5.460, 5.460, 3.416 Å; angles 90.00, 90.00, 90.00 degrees
Element x y z (fractional)
Cd: 0.000 0.000 0.000
Fe: 0.500 0.500 0.500
Te: 0.000 0.500 0.500
Te: 0.500 0.000 0.500
N: 0.500 0.500 0.000

Calculated values
- magnetic moment (Bohr magnetons per cell) = 0.00
- calculated volume (Å³/cell) = 101.8
- symmetry = P4/mmm, No. 123
- mass density (g/cm³) = 7.13

b | First-principles (GGA-PBE) data for a relaxed structure of CdFeTe2N, as listed in the Alexandria database.

Cell lengths 5.707, 5.707, 4.079 Å; angles 90.00, 90.00, 90.00 degrees
Element x y z (fractional)
Cd: 0.000 0.000 0.000
Fe: 0.500 0.500 0.500
Te: 0.000 0.500 0.000
Te: 0.500 0.000 0.000
N: 0.000 0.000 0.500

Calculated values
- magnetic moment (Bohr magnetons per cell) = 5.46
- calculated volume (Å³/cell) = 132.8
- symmetry = P4/mmm, No. 123
- mass density (g/cm³) = 5.47

Which of them is the most stable? Correct choice: a.

a | First-principles (GGA-PBE) data for a relaxed structure of NaCdFe3, as listed in the Alexandria database.

Cell lengths 4.929, 4.929, 4.929 Å; angles 90.00, 90.00, 90.00 degrees
Element x y z (fractional)
Na: 0.000 0.000 0.000
Cd: 0.500 0.500 0.500
Fe: 0.000 0.500 0.500
Fe: 0.500 0.000 0.500
Fe: 0.500 0.500 0.000

Calculated values
- magnetic moment (Bohr magnetons per cell) = 9.08
- calculated volume (Å³/cell) = 119.8
- symmetry = Pm-3m, No. 221
- mass density (g/cm³) = 4.20

b | First-principles (GGA-PBE) data for a relaxed structure of NaCdFe3, as listed in the Alexandria database.

Cell lengths 4.488, 4.488, 4.488 Å; angles 90.00, 90.00, 90.00 degrees
Element x y z (fractional)
Na: 0.000 0.000 0.000
Cd: 0.500 0.500 0.500
Fe: 0.000 0.000 0.500
Fe: 0.000 0.500 0.000
Fe: 0.500 0.000 0.000

Calculated values
- magnetic moment (Bohr magnetons per cell) = 8.07
- calculated volume (Å³/cell) = 90.4
- symmetry = Pm-3m, No. 221
- mass density (g/cm³) = 5.57

Which of them is the most stable? Correct choice: a.

a | First-principles (GGA-PBE) data for a relaxed structure of NbCdFe3, as listed in the Alexandria database.

Cell lengths 4.668, 4.668, 4.668 Å; angles 90.00, 90.00, 90.00 degrees
Element x y z (fractional)
Nb: 0.000 0.000 0.000
Cd: 0.500 0.500 0.500
Fe: 0.000 0.500 0.500
Fe: 0.500 0.000 0.500
Fe: 0.500 0.500 0.000

Calculated values
- magnetic moment (Bohr magnetons per cell) = 6.62
- calculated volume (Å³/cell) = 101.7
- symmetry = Pm-3m, No. 221
- mass density (g/cm³) = 6.09

b | First-principles (GGA-PBE) data for a relaxed structure of NbCdFe3, as listed in the Alexandria database.

Cell lengths 4.556, 4.556, 4.556 Å; angles 90.00, 90.00, 90.00 degrees
Element x y z (fractional)
Nb: 0.000 0.000 0.000
Cd: 0.500 0.500 0.500
Fe: 0.000 0.000 0.500
Fe: 0.000 0.500 0.000
Fe: 0.500 0.000 0.000

Calculated values
- magnetic moment (Bohr magnetons per cell) = 4.78
- calculated volume (Å³/cell) = 94.6
- symmetry = Pm-3m, No. 221
- mass density (g/cm³) = 6.55

Which of them is the most stable? Correct choice: b.

a | First-principles (GGA-PBE) data for a relaxed structure of CdFe3Ni, as listed in the Alexandria database.

Cell lengths 4.379, 4.379, 4.379 Å; angles 90.00, 90.00, 90.00 degrees
Element x y z (fractional)
Cd: 0.000 0.000 0.000
Fe: 0.000 0.500 0.500
Fe: 0.500 0.000 0.500
Fe: 0.500 0.500 0.000
Ni: 0.500 0.500 0.500

Calculated values
- magnetic moment (Bohr magnetons per cell) = 9.43
- calculated volume (Å³/cell) = 84.0
- symmetry = Pm-3m, No. 221
- mass density (g/cm³) = 6.70

b | First-principles (GGA-PBE) data for a relaxed structure of CdFe3Ni, as listed in the Alexandria database.

Cell lengths 4.707, 4.707, 4.707 Å; angles 90.00, 90.00, 90.00 degrees
Element x y z (fractional)
Cd: 0.000 0.000 0.000
Fe: 0.000 0.000 0.500
Fe: 0.000 0.500 0.000
Fe: 0.500 0.000 0.000
Ni: 0.500 0.500 0.500

Calculated values
- magnetic moment (Bohr magnetons per cell) = 9.57
- calculated volume (Å³/cell) = 104.3
- symmetry = Pm-3m, No. 221
- mass density (g/cm³) = 5.39

Which of them is the most stable? Correct choice: a.